[1]
The following is a DFT calculation (PBE-GGA) of a relaxed structure of PrNd15Dy4.

abc: 5.1754 5.1754 25.7859
angles: 90.00 90.00 90.00
Last column: nearest neighbours and their distance in Å.
Atoms (fractional coordinates):
Pr  0.0000  0.0000  0.0000  12 Nd 3.66-3.69
Nd  0.0000  0.5000  0.1019  2 Dy 3.65, 8 Nd 3.66-3.69, 2 Pr 3.69
Nd  0.0000  0.5000  0.3010  8 Nd 3.64-3.66, 4 Dy 3.64
Nd  0.0000  0.5000  0.5000  4 Dy 3.64, 8 Nd 3.64-3.66
Nd  0.0000  0.5000  0.6990  8 Nd 3.64-3.66, 4 Dy 3.64
Nd  0.0000  0.5000  0.8981  2 Dy 3.65, 8 Nd 3.66-3.69, 2 Pr 3.69
Nd  0.5000  0.0000  0.1019  2 Dy 3.65, 8 Nd 3.66-3.69, 2 Pr 3.69
Nd  0.5000  0.0000  0.3010  8 Nd 3.64-3.66, 4 Dy 3.64
Nd  0.5000  0.0000  0.5000  4 Dy 3.64, 8 Nd 3.64-3.66
Nd  0.5000  0.0000  0.6990  8 Nd 3.64-3.66, 4 Dy 3.64
Nd  0.5000  0.0000  0.8981  2 Dy 3.65, 8 Nd 3.66-3.69, 2 Pr 3.69
Nd  0.5000  0.5000  0.0000  4 Pr 3.66, 8 Nd 3.69
Nd  0.5000  0.5000  0.2020  8 Nd 3.64-3.66, 4 Dy 3.66
Nd  0.5000  0.5000  0.4005  8 Nd 3.64, 4 Dy 3.66
Nd  0.5000  0.5000  0.5995  8 Nd 3.64, 4 Dy 3.66
Nd  0.5000  0.5000  0.7980  8 Nd 3.64-3.66, 4 Dy 3.66
Dy  0.0000  0.0000  0.2015  12 Nd 3.64-3.66
Dy  0.0000  0.0000  0.4005  12 Nd 3.64-3.66
Dy  0.0000  0.0000  0.5995  12 Nd 3.64-3.66
Dy  0.0000  0.0000  0.7985  12 Nd 3.64-3.66

Properties
ΔH_f (0 K)   13 meV/atom
Symmetry   No. 123

[2]
The following is a DFT calculation (PBE-GGA) of a relaxed structure of HoPuAgSn.

abc: 5.2566 5.2566 5.2566
angles: 60.00 60.00 60.00
Last column: nearest neighbours and their distance in Å.
Atoms (fractional coordinates):
Ho  0.0000  0.0000  0.0000  4 Sn 3.22, 4 Ag 3.22
Pu  0.5000  0.5000  0.5000  4 Sn 3.22, 4 Ag 3.22
Ag  0.2500  0.2500  0.2500  4 Ho 3.22, 4 Pu 3.22
Sn  0.7500  0.7500  0.7500  4 Pu 3.22, 4 Ho 3.22

Properties
ΔH_f (0 K)   -316 meV/atom
Symmetry   No. 216

[3]
The following is a DFT calculation (PBE-GGA) of a relaxed structure of KHfScCo2.

abc: 4.6123 4.6123 5.2991
angles: 90.00 90.00 90.00
Last column: nearest neighbours and their distance in Å.
Atoms (fractional coordinates):
K  0.0000  0.0000  0.0000  2 Hf 2.65
Hf  0.0000  0.0000  0.5000  4 Co 2.31
Sc  0.5000  0.5000  0.0000  4 K 3.26, 8 Co 3.51
Co  0.0000  0.5000  0.5000  2 Hf 2.31
Co  0.5000  0.0000  0.5000  2 Hf 2.31

Properties
ΔH_f (0 K)   1308 meV/atom
Symmetry   No. 123

[4]
The following is a DFT calculation (PBE-GGA) of a relaxed structure of LaZnHgPb2.

abc: 5.2539 5.2539 5.8285
angles: 90.00 90.00 90.00
Last column: nearest neighbours and their distance in Å.
Atoms (fractional coordinates):
La  0.0000  0.0000  0.0000  2 Zn 2.91
Zn  0.0000  0.0000  0.5000  4 Pb 2.63, 2 La 2.91
Hg  0.5000  0.5000  0.0000  4 La 3.72, 8 Pb 3.92
Pb  0.0000  0.5000  0.5000  2 Zn 2.63
Pb  0.5000  0.0000  0.5000  2 Zn 2.63

Properties
ΔH_f (0 K)   75 meV/atom
Symmetry   No. 123

[5]
The following is a DFT calculation (PBE-GGA) of a relaxed structure of NdZn3Cu.

abc: 4.6239 4.6239 4.6239
angles: 90.00 90.00 90.00
Last column: nearest neighbours and their distance in Å.
Atoms (fractional coordinates):
Nd  0.0000  0.0000  0.0000  12 Zn 3.27
Zn  0.0000  0.5000  0.5000  2 Cu 2.31
Zn  0.5000  0.0000  0.5000  2 Cu 2.31
Zn  0.5000  0.5000  0.0000  2 Cu 2.31
Cu  0.5000  0.5000  0.5000  6 Zn 2.31

Properties
Distance to the lowest polymorph of the same formula   144 meV/atom
ΔH_f (0 K)   -127 meV/atom
Symmetry   No. 221

[6]
The following is a DFT calculation (PBE-GGA) of a relaxed structure of Ce4Hg2Sb.

abc: 9.2603 9.2603 9.2603
angles: 33.60 33.60 33.60
Last column: nearest neighbours and their distance in Å.
Atoms (fractional coordinates):
Ce  0.1232  0.1232  0.1232  4 Hg 3.15-3.21, 1 Sb 3.23
Ce  0.3757  0.3757  0.3757  3 Sb 3.28, 4 Hg 3.33-3.46
Ce  0.6243  0.6243  0.6243  3 Sb 3.28, 4 Hg 3.33-3.46
Ce  0.8768  0.8768  0.8768  4 Hg 3.15-3.21, 1 Sb 3.23
Hg  0.2434  0.2434  0.2434  8 Ce 3.15-3.46
Hg  0.7566  0.7566  0.7566  8 Ce 3.15-3.46
Sb  0.0000  0.0000  0.0000  8 Ce 3.23-3.28

Properties
Final energy   -4.323 eV/atom
Symmetry   No. 166

[7]
The following is a DFT calculation (PBE-GGA) of a relaxed structure of ZrZnCo.

abc: 4.9674 4.9674 4.9674
angles: 141.48 141.48 55.61
Last column: nearest neighbours and their distance in Å.
Atoms (fractional coordinates):
Zr  0.0000  0.0000  0.0000  5 Zn 2.74-2.85, 5 Co 2.75-2.92
Zn  0.3118  0.3118  0.0000  4 Co 2.64, 5 Zr 2.74-2.85
Co  0.6677  0.6677  0.0000  4 Zn 2.64, 5 Zr 2.75-2.92

Properties
ΔH_f (0 K)   -189 meV/atom
Symmetry   No. 107

[8]
The following is a DFT calculation (PBE-GGA) of a relaxed structure of Rb2BaTlBr5.

abc: 10.5004 10.5004 16.0881
angles: 90.00 90.00 152.94
Last column: nearest neighbours and their distance in Å.
Atoms (fractional coordinates):
Rb  0.0735  0.9265  0.5000  6 Br 3.46-3.59
Rb  0.1277  0.8723  0.1412  4 Br 3.51-3.67
Rb  0.8723  0.1277  0.6412  4 Br 3.51-3.67
Rb  0.9265  0.0735  0.0000  6 Br 3.46-3.59
Ba  0.2392  0.7608  0.8793  6 Br 3.21-3.28
Ba  0.7608  0.2392  0.3793  6 Br 3.21-3.28
Tl  0.4472  0.5528  0.2950  5 Br 3.19-3.47
Tl  0.5528  0.4472  0.7950  5 Br 3.19-3.47
Br  0.0854  0.9146  0.9197  1 Ba 3.21, 2 Tl 3.24, 1 Rb 3.49
Br  0.2481  0.7519  0.5135  2 Ba 3.28, 1 Rb 3.57
Br  0.2812  0.7188  0.2495  2 Ba 3.25, 1 Tl 3.47, 1 Rb 3.59
Br  0.3937  0.6063  0.8431  1 Ba 3.21, 1 Tl 3.34, 2 Rb 3.59
Br  0.4932  0.5068  0.6116  1 Tl 3.19, 4 Rb 3.46-3.51
Br  0.5068  0.4932  0.1116  1 Tl 3.19, 4 Rb 3.46-3.51
Br  0.6063  0.3937  0.3431  1 Ba 3.21, 1 Tl 3.34, 2 Rb 3.59
Br  0.7188  0.2812  0.7495  2 Ba 3.25, 1 Tl 3.47, 1 Rb 3.59
Br  0.7519  0.2481  0.0135  2 Ba 3.28, 1 Rb 3.57
Br  0.9146  0.0854  0.4197  1 Ba 3.21, 2 Tl 3.24, 1 Rb 3.49

Properties
Final energy   -3.287 eV/atom
Symmetry   No. 36

[9]
The following is a DFT calculation (PBE-GGA) of a relaxed structure of AcPmGe4.

abc: 5.8389 5.8389 5.8389
angles: 60.00 60.00 60.00
Last column: nearest neighbours and their distance in Å.
Atoms (fractional coordinates):
Ac  0.0000  0.0000  0.0000  12 Ge 3.44, 4 Pm 3.58
Pm  0.2500  0.2500  0.2500  12 Ge 3.41, 4 Ac 3.58
Ge  0.1408  0.6197  0.6197  6 Ge 2.80-3.04
Ge  0.6197  0.1408  0.6197  6 Ge 2.80-3.04
Ge  0.6197  0.6197  0.1408  6 Ge 2.80-3.04
Ge  0.6197  0.6197  0.6197  6 Ge 2.80-3.04

Properties
Distance to the lowest polymorph of the same formula   233 meV/atom
ΔH_f (0 K)   -357 meV/atom
Symmetry   No. 216

[10]
The following is a DFT calculation (PBE-GGA) of a relaxed structure of Pu2PaSb.

abc: 5.1967 5.1967 5.1967
angles: 60.00 60.00 60.00
Last column: nearest neighbours and their distance in Å.
Atoms (fractional coordinates):
Pu  0.2500  0.2500  0.2500  4 Sb 3.18, 4 Pa 3.18
Pu  0.7500  0.7500  0.7500  4 Pa 3.18, 4 Sb 3.18
Pa  0.0000  0.0000  0.0000  8 Pu 3.18
Sb  0.5000  0.5000  0.5000  8 Pu 3.18

Properties
Distance to the lowest polymorph of the same formula   226 meV/atom
Symmetry   No. 225

[11]
The following is a DFT calculation (PBE-GGA) of a relaxed structure of LiTmZn2Ag4.

abc: 8.0443 8.0443 8.0443
angles: 33.57 33.57 33.57
Last column: nearest neighbours and their distance in Å.
Atoms (fractional coordinates):
Li  0.0000  0.0000  0.0000  8 Ag 2.54-2.80
Tm  0.5000  0.5000  0.5000  8 Ag 2.96-2.99, 6 Zn 3.24
Zn  0.2465  0.2465  0.2465  8 Ag 2.74-3.07
Zn  0.7535  0.7535  0.7535  8 Ag 2.74-3.07
Ag  0.1117  0.1117  0.1117  1 Li 2.54, 3 Zn 2.74
Ag  0.3686  0.3686  0.3686  4 Zn 2.78-2.93, 3 Li 2.80, 1 Tm 2.99
Ag  0.6314  0.6314  0.6314  4 Zn 2.78-2.93, 3 Li 2.80, 1 Tm 2.99
Ag  0.8883  0.8883  0.8883  1 Li 2.54, 3 Zn 2.74

Properties
ΔH_f (0 K)   -202 meV/atom
Symmetry   No. 166

[12]
The following is a DFT calculation (PBE-GGA) of a relaxed structure of La5Y2HoEr.

abc: 10.4366 10.4366 10.4366
angles: 130.60 130.60 72.45
Last column: nearest neighbours and their distance in Å.
Atoms (fractional coordinates):
La  0.0000  0.0000  0.0000  4 Y 3.46
La  0.0704  0.5704  0.9311  1 Y 3.16, 1 Er 3.19
La  0.1393  0.0704  0.5000  1 Y 3.16, 1 Er 3.19
La  0.3607  0.8607  0.9311  1 Y 3.16, 1 Er 3.19
La  0.4296  0.3607  0.5000  1 Y 3.16, 1 Er 3.19
La  0.5000  0.5000  0.0000  4 Y 3.46
La  0.5704  0.6393  0.5000  1 Y 3.16, 1 Er 3.19
La  0.6393  0.1393  0.0689  1 Y 3.16, 1 Er 3.19
La  0.8607  0.9296  0.5000  1 Y 3.16, 1 Er 3.19
La  0.9296  0.4296  0.0689  1 Y 3.16, 1 Er 3.19
Y  0.1220  0.3780  0.5000  1 Y 3.01, 2 La 3.16
Y  0.3780  0.8780  0.2561  1 Y 3.01, 2 La 3.16
Y  0.6220  0.1220  0.7439  1 Y 3.01, 2 La 3.16
Y  0.8780  0.6220  0.5000  1 Y 3.01, 2 La 3.16
Ho  0.2500  0.2500  0.0000  8 La 3.58
Ho  0.7500  0.7500  0.0000  8 La 3.58
Er  0.2500  0.7500  0.5000  4 La 3.19
Er  0.7500  0.2500  0.5000  4 La 3.19

Properties
ΔH_f (0 K)   314 meV/atom
Symmetry   No. 140

[13]
The following is a DFT calculation (PBE-GGA) of a relaxed structure of BeInAs2.

abc: 4.7449 4.7449 4.7449
angles: 60.00 60.00 60.00
Last column: nearest neighbours and their distance in Å.
Atoms (fractional coordinates):
Be  0.0000  0.0000  0.0000  8 As 2.91
In  0.5000  0.5000  0.5000  8 As 2.91
As  0.2500  0.2500  0.2500  4 In 2.91, 4 Be 2.91
As  0.7500  0.7500  0.7500  4 In 2.91, 4 Be 2.91

Properties
ΔH_f (0 K)   562 meV/atom
Symmetry   No. 225

[14]
The following is a DFT calculation (PBE-GGA) of a relaxed structure of BaAlGa.

abc: 6.2661 4.2692 13.3938
angles: 90.00 90.00 90.00
Last column: nearest neighbours and their distance in Å.
Atoms (fractional coordinates):
Ba  0.1163  0.2500  0.1481  4 Ga 3.41-3.75, 4 Al 3.61-3.73
Ba  0.3837  0.7500  0.6481  4 Ga 3.41-3.75, 4 Al 3.61-3.73
Ba  0.6163  0.2500  0.3519  4 Ga 3.41-3.75, 4 Al 3.61-3.73
Ba  0.8837  0.7500  0.8519  4 Ga 3.41-3.75, 4 Al 3.61-3.73
Al  0.1288  0.7500  0.3656  3 Ga 2.64-2.69
Al  0.3712  0.2500  0.8656  3 Ga 2.64-2.69
Al  0.6288  0.7500  0.1344  3 Ga 2.64-2.69
Al  0.8712  0.2500  0.6344  3 Ga 2.64-2.69
Ga  0.1472  0.2500  0.4811  3 Al 2.64-2.69, 2 Ga 2.87
Ga  0.3528  0.7500  0.9811  3 Al 2.64-2.69, 2 Ga 2.87
Ga  0.6472  0.2500  0.0189  3 Al 2.64-2.69, 2 Ga 2.87
Ga  0.8528  0.7500  0.5189  3 Al 2.64-2.69, 2 Ga 2.87

Properties
ΔH_f (0 K)   -281 meV/atom
Symmetry   No. 62

[15]
The following is a DFT calculation (PBE-GGA) of a relaxed structure of Ba3Na7Bi4.

abc: 10.0994 10.0994 12.6446
angles: 127.10 127.10 30.55
Last column: nearest neighbours and their distance in Å.
Atoms (fractional coordinates):
Ba  0.0000  0.0000  0.0000  6 Bi 3.84-3.88, 6 Na 4.09-4.25
Ba  0.2971  0.2971  0.2556  5 Na 3.63-4.05, 4 Bi 3.66-3.76
Ba  0.7029  0.7029  0.7444  5 Na 3.63-4.05, 4 Bi 3.66-3.76
Na  0.0000  0.0000  0.5000  2 Bi 3.27
Na  0.1710  0.1710  0.4147  3 Bi 3.29-3.31, 4 Na 3.54-3.59
Na  0.3264  0.3264  0.9910  4 Bi 3.20-3.39, 1 Na 3.26
Na  0.4814  0.4814  0.7093  3 Bi 3.20-3.27, 3 Na 3.26-3.54
Na  0.5186  0.5186  0.2907  3 Bi 3.20-3.27, 3 Na 3.26-3.54
Na  0.6736  0.6736  0.0090  4 Bi 3.20-3.39, 1 Na 3.26
Na  0.8290  0.8290  0.5853  3 Bi 3.29-3.31, 4 Na 3.54-3.59
Bi  0.1067  0.1067  0.8272  6 Na 3.21-3.39
Bi  0.3319  0.3319  0.7436  5 Na 3.20-3.31
Bi  0.6681  0.6681  0.2564  5 Na 3.20-3.31
Bi  0.8933  0.8933  0.1728  6 Na 3.21-3.39

Properties
ΔH_f (0 K)   -539 meV/atom
Symmetry   No. 12

[16]
The following is a DFT calculation (PBE-GGA) of a relaxed structure of CsLa3Cd.

abc: 5.8980 5.8980 5.8980
angles: 90.00 90.00 90.00
Last column: nearest neighbours and their distance in Å.
Atoms (fractional coordinates):
Cs  0.0000  0.0000  0.0000  6 La 2.95
La  0.0000  0.0000  0.5000  2 Cs 2.95
La  0.0000  0.5000  0.0000  2 Cs 2.95
La  0.5000  0.0000  0.0000  2 Cs 2.95
Cd  0.5000  0.5000  0.5000  12 La 4.17

Properties
Distance to the lowest polymorph of the same formula   509 meV/atom
ΔH_f (0 K)   915 meV/atom
Symmetry   No. 221